# YTaPt

YTaPt at its PBEsol-relaxed geometry (meta-GGA SCAN, Alexandria via LeMat-Bulk).

```
3
Lattice="0.0000 3.1690 3.1690 3.1690 0.0000 3.1690 3.1690 3.1690 0.0000" Properties=species:S:1:pos:R:3 pbc="T T T"
Y 0.0000 0.0000 0.0000
Ta 4.7536 4.7536 4.7536
Pt 3.1690 3.1690 3.1690
```

Calculated values
- Magnetization: 0.0 μB per formula unit
- Space group: F-43m, No. 216
- Raw total energy: -164.36 eV per cell

=====

# TaZnPt2

TaZnPt2 at its PBEsol-relaxed geometry (meta-GGA SCAN, Alexandria via LeMat-Bulk).

```
4
Lattice="2.8299 0.0000 0.0000 0.0000 2.8299 0.0000 0.0000 0.0000 7.4651" Properties=species:S:1:pos:R:3 pbc="T T T"
Ta 0.0000 0.0000 0.0000
Zn 0.0000 0.0000 3.7325
Pt 1.4149 1.4149 1.9402
Pt 1.4149 1.4149 5.5249
```

Calculated values
- Magnetization: 0.0 μB per formula unit
- Space group: P4/mmm, No. 123
- Raw total energy: -223.48 eV per cell

=====

# TaZnPt

TaZnPt at its PBEsol-relaxed geometry (meta-GGA SCAN, Alexandria via LeMat-Bulk).

```
3
Lattice="4.3595 0.0000 0.0000 -2.1798 3.7755 0.0000 0.0000 0.0000 2.7440" Properties=species:S:1:pos:R:3 pbc="T T T"
Ta 0.0000 0.0000 0.0000
Zn 2.1798 1.2585 1.3720
Pt 0.0000 2.5170 1.3720
```

Calculated values
- Magnetization: 0.0 μB per formula unit
- Space group: P-6m2, No. 187
- Raw total energy: -152.01 eV per cell

=====

> The lowest raw total energy belongs to which entry?

TaZnPt2